Ac2TbCd | GGA-PBE | relaxed

Structure (CIF):
```
data_Ac2TbCd
_symmetry_space_group_name_H-M 'P 1'
_symmetry_Int_Tables_number 1
_cell_length_a 5.8662
_cell_length_b 5.8662
_cell_length_c 5.8662
_cell_angle_alpha 60.00
_cell_angle_beta 60.00
_cell_angle_gamma 60.00
loop_
_symmetry_equiv_pos_as_xyz
'x,y,z'
loop_
_atom_site_label
_atom_site_fract_x
_atom_site_fract_y
_atom_site_fract_z
Ac1 0.2500 0.2500 0.2500
Ac2 0.7500 0.7500 0.7500
Tb1 0.0000 0.0000 0.0000
Cd1 0.5000 0.5000 0.5000
```

Values from the calculation:
Energy above the most stable polymorph in this dataset ... 101.0 meV/atom
Magnetization ... 0.00 μB per formula unit
Volume ... 143 Å³/cell
E_tot ... -3.457 eV per atom
Calculated formation energy ... -0.02 eV per atom